Density functional theory data (GGA-PBEsol) for crystalline Na2AgSbF6 at its relaxed geometry.

Summary:
uncorrected formation energy = -2017 meV per atom
space group = No. 225
calculated total energy = -0.3117 Ry per atom

Lattice parameters (Å, degrees): 6.340 6.340 6.340 60.00 60.00 60.00
Element x y z (fractional)
Na 0.250 0.250 0.250
Na 0.750 0.750 0.750
Ag 0.000 0.000 0.000
Sb 0.500 0.500 0.500
F 0.260 0.260 0.740
F 0.260 0.740 0.260
F 0.260 0.740 0.740
F 0.740 0.260 0.260
F 0.740 0.260 0.740
F 0.740 0.740 0.260

---

Density functional theory data (GGA-PBEsol) for crystalline Cs3Sc2Cl9 at its relaxed geometry.

Summary:
uncorrected formation energy = -2144 meV per atom
space group = No. 167
calculated total energy = -0.3367 Ry per atom

Lattice parameters (Å, degrees): 9.410 9.410 9.410 83.71 83.71 83.71
Element x y z (fractional)
Cs 0.089 0.750 0.411
Cs 0.250 0.589 0.911
Cs 0.411 0.089 0.750
Cs 0.589 0.911 0.250
Cs 0.750 0.411 0.089
Cs 0.911 0.250 0.589
Sc 0.153 0.153 0.153
Sc 0.347 0.347 0.347
Sc 0.653 0.653 0.653
Sc 0.847 0.847 0.847
Cl 0.075 0.913 0.740
Cl 0.087 0.260 0.925
Cl 0.097 0.403 0.250
Cl 0.240 0.413 0.575
Cl 0.250 0.097 0.403
Cl 0.260 0.925 0.087
Cl 0.403 0.250 0.097
Cl 0.413 0.575 0.240
Cl 0.425 0.760 0.587
Cl 0.575 0.240 0.413
Cl 0.587 0.425 0.760
Cl 0.597 0.750 0.903
Cl 0.740 0.075 0.913
Cl 0.750 0.903 0.597
Cl 0.760 0.587 0.425
Cl 0.903 0.597 0.750
Cl 0.913 0.740 0.075
Cl 0.925 0.087 0.260

---

Density functional theory data (GGA-PBEsol) for crystalline SrNdMnCoO6 at its relaxed geometry.

Summary:
uncorrected formation energy = -2238 meV per atom
space group = No. 216
calculated total energy = -0.5761 Ry per atom

Lattice parameters (Å, degrees): 5.325 5.325 5.325 60.00 60.00 60.00
Element x y z (fractional)
Sr 0.000 0.000 0.000
Nd 0.500 0.500 0.500
Mn 0.750 0.750 0.750
Co 0.250 0.250 0.250
O 0.000 0.000 0.500
O 0.000 0.500 0.000
O 0.000 0.500 0.500
O 0.500 0.000 0.000
O 0.500 0.000 0.500
O 0.500 0.500 0.000

---

Density functional theory data (GGA-PBEsol) for crystalline YSiSe2 at its relaxed geometry.

Summary:
uncorrected formation energy = -857 meV per atom
space group = No. 71
E above lowest polymorph = 0.175 eV/atom
calculated total energy = -0.4355 Ry per atom

Lattice parameters (Å, degrees): 5.225 5.225 5.225 137.98 121.17 74.90
Element x y z (fractional)
Y 0.000 0.000 0.000
Si 0.500 0.500 0.000
Se 0.295 0.795 0.500
Se 0.705 0.205 0.500

---

Density functional theory data (GGA-PBEsol) for crystalline HfSiIr2 at its relaxed geometry.

Summary:
uncorrected formation energy = 45 meV per atom
space group = No. 122
calculated total energy = -0.6563 Ry per atom

Lattice parameters (Å, degrees): 6.899 6.899 6.899 132.97 132.97 68.71
Element x y z (fractional)
Hf 0.000 0.000 0.000
Hf 0.750 0.250 0.500
Si 0.250 0.750 0.500
Si 0.500 0.500 0.000
Ir 0.170 0.625 0.045
Ir 0.375 0.420 0.545
Ir 0.580 0.125 0.955
Ir 0.875 0.830 0.455

---

Density functional theory data (GGA-PBEsol) for crystalline AlAgOs at its relaxed geometry.

Summary:
space group = No. 156
energy of formation from the pure elements = 12.2 kJ per mole of atoms
E above lowest polymorph = 0.000 eV/atom
calculated total energy = -0.4714 Ry per atom

Lattice parameters (Å, degrees): 2.807 2.807 6.532 90.00 90.00 120.00
Element x y z (fractional)
Al 0.000 0.000 0.000
Ag 0.333 0.667 0.336
Os 0.667 0.333 0.700

---

Density functional theory data (GGA-PBEsol) for crystalline AsIrOs2 at its relaxed geometry.

Summary:
space group = No. 10
energy of formation from the pure elements = 30.5 kJ per mole of atoms
calculated total energy = -0.7000 Ry per atom

Lattice parameters (Å, degrees): 2.822 3.963 5.285 90.00 104.27 90.00
Element x y z (fractional)
As 0.000 0.000 0.000
Ir 0.000 0.000 0.500
Os 0.372 0.500 0.244
Os 0.628 0.500 0.756

---

Density functional theory data (GGA-PBEsol) for crystalline HgPtPb at its relaxed geometry.

Summary:
space group = No. 44
energy of formation from the pure elements = 0.7 kJ per mole of atoms
E above lowest polymorph = 0.111 eV/atom
calculated total energy = -0.2819 Ry per atom

Lattice parameters (Å, degrees): 6.371 6.371 6.371 151.51 148.21 43.21
Element x y z (fractional)
Hg 0.000 0.000 0.000
Pt 0.640 0.640 0.000
Pb 0.288 0.288 0.000

---

Repeat the second record exactly.
Density functional theory data (GGA-PBEsol) for crystalline Cs3Sc2Cl9 at its relaxed geometry.

Summary:
uncorrected formation energy = -2144 meV per atom
space group = No. 167
calculated total energy = -0.3367 Ry per atom

Lattice parameters (Å, degrees): 9.410 9.410 9.410 83.71 83.71 83.71
Element x y z (fractional)
Cs 0.089 0.750 0.411
Cs 0.250 0.589 0.911
Cs 0.411 0.089 0.750
Cs 0.589 0.911 0.250
Cs 0.750 0.411 0.089
Cs 0.911 0.250 0.589
Sc 0.153 0.153 0.153
Sc 0.347 0.347 0.347
Sc 0.653 0.653 0.653
Sc 0.847 0.847 0.847
Cl 0.075 0.913 0.740
Cl 0.087 0.260 0.925
Cl 0.097 0.403 0.250
Cl 0.240 0.413 0.575
Cl 0.250 0.097 0.403
Cl 0.260 0.925 0.087
Cl 0.403 0.250 0.097
Cl 0.413 0.575 0.240
Cl 0.425 0.760 0.587
Cl 0.575 0.240 0.413
Cl 0.587 0.425 0.760
Cl 0.597 0.750 0.903
Cl 0.740 0.075 0.913
Cl 0.750 0.903 0.597
Cl 0.760 0.587 0.425
Cl 0.903 0.597 0.750
Cl 0.913 0.740 0.075
Cl 0.925 0.087 0.260

---

The lowest calculated total energy belongs to which entry?
AsIrOs2

---

calculated total energy of number 3 (SrNdMnCoO6)?
-0.5761 Ry per atom